[1]
TbCoSnRh PBE relaxed; E_form = -0.502 eV per atom; DFT total energy = -6.274 eV per atom
1.0
-2.091 0.877 -4.061
-0.336 -3.346 -3.213
-4.134 -1.907 -0.947
Tb Sn Rh Co
1 1 1 1
Direct
0.750 0.750 0.750
0.250 0.250 0.250
0.500 0.500 0.500
0.000 0.000 0.000

[2]
TmCoSnRh PBE relaxed; E_form = -0.563 eV per atom; DFT total energy = -6.296 eV per atom
1.0
4.600 0.000 0.000
2.300 3.984 0.000
2.300 1.328 3.756
Sn Rh Tm Co
1 1 1 1
Direct
0.250 0.250 0.250
0.500 0.500 0.500
0.750 0.750 0.750
0.000 0.000 0.000

[3]
VCoSnRh PBE relaxed; E_form = -0.187 eV per atom; DFT total energy = -7.082 eV per atom
1.0
-4.135 1.068 -0.938
-1.837 -1.419 -3.705
-3.131 -3.049 0.141
Co Rh Sn V
1 1 1 1
Direct
0.500 0.500 0.500
0.000 0.000 0.000
0.750 0.750 0.750
0.250 0.250 0.250